The following is a GGA-PBE calculation of a relaxed ScCdAgSn crystal, from the Alexandria database.

a b c (Å): 4.250 4.277 4.674
angles (deg): 90.00 90.00 90.00
Space group Pmmm (No. 47)
Unique sites:
Sc: 0.000 0.000 0.000 [1 per cell]
Cd: 0.000 0.500 0.500 [1 per cell]
Ag: 0.500 0.000 0.500 [1 per cell]
Sn: 0.500 0.500 0.000 [1 per cell]

Output
The energy relative to the elements is -0.326 eV per atom. The energy relative to the lowest polymorph listed for this composition comes out at 0 meV per atom. The value obtained for the total magnetic moment is 0.000 μB/cell.